A relaxed Ca2TlCoF8 crystal, computed with GGA+U.

Structure (CIF):
```
data_Ca2TlCoF8
_cell_length_a 5.142
_cell_length_b 5.239
_cell_length_c 7.117
_cell_angle_alpha 70.47
_cell_angle_beta 85.91
_cell_angle_gamma 78.30
_space_group_name_H-M_alt 'P -1'
_space_group_IT_number 2
loop_
_space_group_symop_operation_xyz
'x,y,z'
'-x,-y,-z'
loop_
_atom_site_label
_atom_site_type_symbol
_atom_site_fract_x
_atom_site_fract_y
_atom_site_fract_z
Ca1 Ca 0.035 0.128 0.225
Tl1 Tl 0.500 0.500 0.500
Co1 Co 0.500 0.500 0.000
F1 F 0.029 0.228 0.514
F2 F 0.222 0.416 0.895
F3 F 0.246 0.768 0.075
F4 F 0.470 0.212 0.236
```

Calculated values
Calculated density, g cm⁻³: 4.649
N(E_F), states/eV per cell: 0.00
Raw total energy, eV per atom: -5.02